Model one:
Compound: CuReSnW
Source: OQMD
Functional: PBE-GGA
Structure: optimized geometry

The volume comes out at 63.0 Å³/f.u. The theoretical density is 14.6 g/cm3. The calculation puts the magnetization at 0.04 μB/f.u.

The space group is F-43m (No. 216) and the conventional cell measures 6.315, 6.315 and 6.315 Å, with angles of 90.00, 90.00 and 90.00 degrees. The inequivalent atoms are Cu at (0.000, 0.000, 0.000), Re at (0.250, 0.250, 0.250), Sn at (0.000, 0.000, 0.500) and W at (0.250, 0.250, 0.750).



Model two:
Compound: CuReSnW
Source: OQMD
Functional: PBE-GGA
Structure: optimized geometry

The volume comes out at 63.8 Å³/f.u. The theoretical density is 14.4 g/cm3. The calculation puts the magnetization at 0.00 μB/f.u.

The space group is F-43m (No. 216) and the conventional cell measures 6.343, 6.343 and 6.343 Å, with angles of 90.00, 90.00 and 90.00 degrees. The inequivalent atoms are Cu at (0.000, 0.000, 0.000), Re at (0.000, 0.000, 0.500), Sn at (0.250, 0.250, 0.750) and W at (0.250, 0.250, 0.250).



How far above the most stable structure does each one sit? In eV/atom: model one 0.318; model two 0.000.